No. 1
The following is a PBE calculation of crystalline CaHg2Br at its relaxed geometry, from the Alexandria database.

```
4
Lattice="4.435 0.000 0.000 0.000 4.655 0.000 0.000 0.000 5.958" Properties=species:S:1:pos:R:3 pbc="T T T"
Br 2.217 2.327 1.489
Hg 0.000 0.000 2.963
Hg 0.000 0.000 0.016
Ca 2.217 2.327 4.468
```

Properties
**Energy relative to the elements, uncorrected**: -594 meV/atom
**Final energy**: -1.66 eV/atom
**DOS(E_F)**: 2.33 states/eV/f.u.
**Spin magnetization**: 0.0 μB per formula unit

=====

No. 2
The following is a PBE calculation of crystalline Fe4AsPt at its relaxed geometry, from the Alexandria database.

```
6
Lattice="2.996 -3.782 0.061 2.755 -0.833 3.872 -0.935 -3.773 2.859" Properties=species:S:1:pos:R:3 pbc="T T T"
Fe 3.011 -5.244 4.246
Fe 1.511 -3.350 4.216
Fe 3.479 -3.355 2.815
Pt 1.204 -2.097 1.698
As 0.000 0.000 0.000
Fe 1.632 -4.826 2.308
```

Properties
**Final energy**: -7.26 eV/atom
**Formation energy from the elements**: 168 meV per atom
**DOS(E_F)**: 5.24 states/eV/f.u.
**Spin magnetization**: 9.6 μB per formula unit

=====

No. 3
The following is a PBE calculation of crystalline NaIn4Hg2 at its relaxed geometry, from the Alexandria database.

```
14
Lattice="-4.131 1.654 2.082 -4.695 -2.609 -7.243 -1.332 -8.080 3.774" Properties=species:S:1:pos:R:3 pbc="T T T"
In -5.076 -7.084 1.352
Hg -6.214 -6.531 -1.347
Hg -4.062 -3.640 -5.167
In -5.082 -1.951 -2.738
In -4.251 -8.968 -1.312
Na -3.014 -5.345 -1.734
In -3.569 -4.413 2.218
In -1.776 -1.721 -2.157
Na -2.065 0.827 1.041
In -6.589 -4.623 -3.605
Hg -3.944 -2.504 -0.040
In -0.936 -3.088 0.597
In -5.092 -7.601 -4.065
Hg -1.966 -7.050 1.699
```

Properties
**Final energy**: -1.88 eV/atom
**Formation energy from the elements**: -44 meV per atom
**DOS(E_F)**: 2.49 states/eV/f.u.
**Spin magnetization**: 0.0 μB per formula unit

=====

No. 4
The following is a PBE calculation of crystalline LaDy2Pd2 at its relaxed geometry, from the Alexandria database.

```
10
Lattice="6.391 -0.002 0.000 3.205 6.202 1.250 3.193 1.080 7.055" Properties=species:S:1:pos:R:3 pbc="T T T"
Dy 5.913 2.604 1.897
Dy 10.071 6.244 6.044
Pd 5.195 5.248 1.314
Pd 7.594 2.033 6.990
La 4.020 2.363 5.609
Dy 2.718 1.037 2.260
La 8.769 4.917 2.696
Pd 7.598 2.684 4.220
Dy 6.876 4.677 6.407
Pd 5.191 4.596 4.084
```

Properties
**Final energy**: -5.53 eV/atom
**Formation energy from the elements**: -623 meV per atom
**DOS(E_F)**: 4.08 states/eV/f.u.
**Spin magnetization**: 0.0 μB per formula unit

=====

No. 5
The following is a PBE calculation of crystalline La3Tb2NdP6 at its relaxed geometry, from the Alexandria database.

```
12
Lattice="7.232 -0.001 0.001 -3.615 6.264 0.001 -1.206 -2.088 6.821" Properties=species:S:1:pos:R:3 pbc="T T T"
P 2.395 4.146 1.637
Tb 3.619 2.086 0.001
Tb -0.002 4.177 0.001
P 0.016 0.028 5.186
La -2.417 4.180 3.411
La 1.206 2.087 3.411
Nd 0.000 0.000 0.000
La 4.828 -0.005 3.411
P -0.032 4.175 5.182
P -1.221 2.116 1.640
P 2.443 0.000 1.640
P 3.632 2.058 5.182
```

Properties
**Final energy**: -6.68 eV/atom
**Formation energy from the elements**: -1571 meV per atom
**DOS(E_F)**: 1.02 states/eV/f.u.
**Spin magnetization**: 0.0 μB per formula unit

=====

No. 6
The following is a PBE calculation of crystalline TaTcHg2 at its relaxed geometry, from the Alexandria database.

```
4
Lattice="-1.060 -2.223 -2.067 2.228 0.877 -2.086 6.553 -4.703 1.696" Properties=species:S:1:pos:R:3 pbc="T T T"
Hg 6.634 -4.413 1.342
Hg 1.529 -2.319 -0.791
Ta 4.479 -2.208 0.077
Tc 6.023 -3.724 -1.585
```

Properties
**Final energy**: -5.48 eV/atom
**Formation energy from the elements**: 226 meV per atom
**DOS(E_F)**: 1.62 states/eV/f.u.
**Spin magnetization**: 0.0 μB per formula unit

=====

No. 7
The following is a PBE calculation of crystalline La3CeDy2Y6 at its relaxed geometry, from the Alexandria database.

```
12
Lattice="-4.364 2.027 -4.012 -1.424 -4.416 4.210 -1.238 9.099 7.574" Properties=species:S:1:pos:R:3 pbc="T T T"
La -2.536 1.215 6.617
Y -2.382 6.274 5.769
La -3.513 3.355 3.885
Y -4.644 0.437 2.002
Ce 0.000 0.000 0.000
Y -5.779 6.143 4.507
Dy -3.384 -0.120 -1.272
Dy -2.404 -2.269 1.470
Y -2.221 2.703 0.539
La -4.489 5.496 1.154
Y -4.804 4.008 7.232
Y -1.247 0.568 3.264
```

Properties
**Final energy**: -5.69 eV/atom
**Formation energy from the elements**: 35 meV per atom
**DOS(E_F)**: 19.16 states/eV/f.u.
**Spin magnetization**: 1.2 μB per formula unit

=====

No. 8
The following is a PBE calculation of crystalline LiZr3Tc at its relaxed geometry, from the Alexandria database.

```
5
Lattice="5.083 0.000 0.000 0.000 5.083 0.000 0.000 0.000 5.083" Properties=species:S:1:pos:R:3 pbc="T T T"
Zr 0.000 0.000 2.541
Zr 0.000 2.541 0.000
Li 2.541 2.541 2.541
Zr 2.541 0.000 0.000
Tc 0.000 0.000 0.000
```

Properties
**Final energy**: -7.10 eV/atom
**Formation energy from the elements**: 481 meV per atom
**DOS(E_F)**: 9.92 states/eV/f.u.
**Spin magnetization**: 0.0 μB per formula unit

=====

No. 9
The following is a PBE calculation of crystalline Pm4SbTe2Pt at its relaxed geometry, from the Alexandria database.

```
8
Lattice="-3.455 0.092 -2.634 -2.052 -6.994 2.448 -3.330 5.358 4.553" Properties=species:S:1:pos:R:3 pbc="T T T"
Pt -2.754 -3.451 -0.093
Sb 0.000 0.000 0.000
Pm -5.799 -1.085 3.983
Te -3.392 2.725 0.960
Te -2.691 -0.818 3.501
Pm -3.175 2.242 4.242
Pm -2.207 -3.878 2.760
Pm -3.038 -0.459 0.384
```

Properties
**Energy relative to the elements, uncorrected**: -1265 meV/atom
**Final energy**: -5.70 eV/atom
**DOS(E_F)**: 6.29 states/eV/f.u.
**Spin magnetization**: 0.0 μB per formula unit

=====

No. 10
The following is a PBE calculation of crystalline Ca2Mg3Ag2 at its relaxed geometry, from the Alexandria database.

```
7
Lattice="4.574 0.000 0.000 -2.287 5.380 -0.244 0.000 -2.783 7.245" Properties=species:S:1:pos:R:3 pbc="T T T"
Mg 2.287 0.000 0.000
Mg 0.000 2.389 3.885
Mg 2.287 0.207 3.115
Ag 2.287 1.628 5.589
Ag 0.000 0.969 1.411
Ca 2.287 3.246 1.409
Ca 0.000 -0.650 5.592
```

Properties
**Final energy**: -2.32 eV/atom
**Formation energy from the elements**: -250 meV per atom
**DOS(E_F)**: 3.02 states/eV/f.u.
**Spin magnetization**: 0.0 μB per formula unit

=====

No. 11
The following is a PBE calculation of crystalline Nb2InGa at its relaxed geometry, from the Alexandria database.

```
4
Lattice="-3.589 1.686 -1.812 0.984 -1.743 -3.571 -2.105 -3.349 1.054" Properties=species:S:1:pos:R:3 pbc="T T T"
In -1.794 0.843 -0.906
Nb -1.053 -1.674 0.527
Nb 0.492 -0.871 -1.785
Ga -2.355 -1.703 -2.164
```

Properties
**Final energy**: -6.53 eV/atom
**Formation energy from the elements**: -53 meV per atom
**DOS(E_F)**: 1.87 states/eV/f.u.
**Spin magnetization**: 0.0 μB per formula unit

=====

No. 12
The following is a PBE calculation of crystalline ErSc3S3 at its relaxed geometry, from the Alexandria database.

```
14
Lattice="-3.138 -4.005 -0.923 5.785 -4.031 -2.176 1.071 -2.425 6.887" Properties=species:S:1:pos:R:3 pbc="T T T"
Sc 0.872 -3.626 5.529
S 1.497 -2.793 -0.213
Sc 2.845 -6.835 -1.741
S 2.221 -7.669 4.001
Er 0.521 -6.044 2.727
S 4.416 -4.834 -1.284
S 4.978 -6.071 2.178
Er 3.197 -4.418 1.061
S -1.260 -4.391 1.609
S -0.699 -5.628 5.072
Sc -0.111 -4.761 -0.688
Sc 0.280 -2.358 2.038
Sc 3.829 -5.700 4.476
Sc 3.438 -8.104 1.750
```

Properties
**Energy relative to the elements, uncorrected**: -1608 meV/atom
**Final energy**: -6.74 eV/atom
**DOS(E_F)**: 5.17 states/eV/f.u.
**Spin magnetization**: 0.0 μB per formula unit